! GGA-PBE BaNa2InAg, relaxed; values from VASP
! Total moment in μB per formula unit: 0.227
! DFT formation energy in eV per atom: -0.05
! Volume in Å³/cell: 170.91
&SYSTEM
  ibrav = 0, nat = 5, ntyp = 4
/
ATOMIC_SPECIES
Na 22.99 Na.upf
Ba 137.33 Ba.upf
Ag 107.87 Ag.upf
In 114.82 In.upf
CELL_PARAMETERS angstrom
5.613 0.000 0.000
0.000 5.613 0.000
0.000 0.000 5.424
ATOMIC_POSITIONS crystal
Na 0.000 0.500 0.000
Na 0.500 0.000 0.000
Ba 0.500 0.500 0.500
Ag 0.000 0.000 0.000
In 0.000 0.000 0.500